[1]
First-principles (PBE) data for a relaxed structure of CaTaSb2, as listed in the Alexandria database.

Calculated values
ΔE to the lowest computed polymorph	37.3	kJ/mol of atoms
Fermi-level density of states	1.055	states/eV/atom
energy	-21.792	eV for the cell shown
raw formation energy	77	meV per atom
SG	No. 119

a = 5.9931 Å, b = 5.9931 Å, c = 5.9931 Å
α = 138.16°, β = 138.16°, γ = 60.66°
Last column: nearest neighbours and their distance in Å.
Fractional positions:
Sb 0.0000 0.0000 0.0000  4 Ta 3.03, 4 Ca 3.36, 4 Sb 3.36
Sb 0.2500 0.7500 0.5000  4 Ca 3.03, 4 Sb 3.36, 4 Ta 3.36
Ca 0.7500 0.2500 0.5000  8 Sb 3.03-3.36, 4 Ta 3.36
Ta 0.5000 0.5000 0.0000  8 Sb 3.03-3.36, 4 Ca 3.36


[2]
First-principles (PBE) data for a relaxed structure of Ac8Si3SbI4, as listed in the Alexandria database.

Calculated values
Fermi-level density of states	0.528	states/eV/atom
energy	-75.107	eV for the cell shown
raw formation energy	-978	meV per atom
SG	No. 166

a = 9.3178 Å, b = 9.7161 Å, c = 9.3165 Å
α = 118.64°, β = 120.00°, γ = 90.00°
Last column: nearest neighbours and their distance in Å.
Fractional positions:
Ac 0.2428 0.7034 0.9605  2 Si 3.10, 1 Sb 3.27
Ac 0.2427 0.7035 0.4854  2 Si 3.10, 1 Sb 3.27
Ac 0.2675 0.3025 0.5350  3 Si 3.13
Ac 0.7178 0.7034 0.9605  2 Si 3.10, 1 Sb 3.27
Ac 0.2822 0.2966 0.0395  2 Si 3.10, 1 Sb 3.27
Ac 0.7325 0.6975 0.4650  3 Si 3.13
Ac 0.7573 0.2965 0.5146  2 Si 3.10, 1 Sb 3.27
Ac 0.7572 0.2966 0.0395  2 Si 3.10, 1 Sb 3.27
Si 0.5000 0.5000 0.0000  6 Ac 3.10-3.13
Si 0.5000 0.5000 0.5000  6 Ac 3.10-3.13
Si 0.0000 0.5000 0.5000  6 Ac 3.10-3.13
Sb 0.0000 0.5000 0.0000  6 Ac 3.27
I 0.5000 0.0000 0.0000  6 Ac 3.51
I 0.5000 0.0000 0.5000  6 Ac 3.64-3.66
I 0.0000 0.0000 0.0000  6 Ac 3.64-3.66
I 0.0000 0.0000 0.5000  6 Ac 3.64-3.66


[3]
First-principles (PBE) data for a relaxed structure of CuS6I2, as listed in the Alexandria database.

Calculated values
Fermi-level density of states	0.477	states/eV/atom
energy	-31.141	eV for the cell shown
raw formation energy	91	meV per atom
SG	No. 12

a = 7.3809 Å, b = 7.3809 Å, c = 7.6672 Å
α = 60.96°, β = 60.96°, γ = 86.57°
Last column: nearest neighbours and their distance in Å.
Fractional positions:
Cu 0.5000 0.5000 0.5000  2 I 2.47, 2 S 2.74
S 0.8810 0.2095 0.0830  2 S 2.05-2.09
S 0.2021 0.2021 0.9534  2 S 2.09
S 0.7905 0.1190 0.9170  2 S 2.05-2.09
S 0.1190 0.7905 0.9170  2 S 2.05-2.09
S 0.2095 0.8810 0.0830  2 S 2.05-2.09
S 0.7979 0.7979 0.0466  2 S 2.09
I 0.6363 0.6363 0.6610  1 Cu 2.47
I 0.3637 0.3637 0.3390  1 Cu 2.47


[4]
First-principles (PBE) data for a relaxed structure of TiCrCuS4, as listed in the Alexandria database.

Calculated values
ΔE to the lowest computed polymorph	9.4	kJ/mol of atoms
Fermi-level density of states	0.351	states/eV/atom
energy	-87.535	eV for the cell shown
raw formation energy	-806	meV per atom
SG	No. 11

a = 3.3915 Å, b = 5.7899 Å, c = 11.5203 Å
α = 89.81°, β = 90.00°, γ = 90.00°
Last column: nearest neighbours and their distance in Å.
Fractional positions:
Ti 0.2500 0.2461 0.9959  6 S 2.41-2.47
Ti 0.7500 0.7539 0.0041  6 S 2.41-2.47
Cr 0.2500 0.3039 0.5046  6 S 2.26-2.50
Cr 0.7500 0.6961 0.4954  6 S 2.26-2.50
Cu 0.7500 0.7758 0.7362  6 S 2.37-2.57
Cu 0.2500 0.2242 0.2638  6 S 2.37-2.57
S 0.7500 0.4084 0.6282  3 Cr 2.26-2.30, 1 Cu 2.47
S 0.7500 0.0852 0.8708  1 Cu 2.37, 3 Ti 2.41-2.45
S 0.2500 0.9148 0.1292  1 Cu 2.37, 3 Ti 2.41-2.45
S 0.2500 0.5916 0.3718  3 Cr 2.26-2.30, 1 Cu 2.47
S 0.2500 0.9150 0.6002  3 Cr 2.44-2.50, 2 Cu 2.44
S 0.2500 0.5865 0.8738  3 Ti 2.42-2.47, 2 Cu 2.57
S 0.7500 0.4135 0.1262  3 Ti 2.42-2.47, 2 Cu 2.57
S 0.7500 0.0850 0.3998  3 Cr 2.44-2.50, 2 Cu 2.44


[5]
First-principles (PBE) data for a relaxed structure of Zn3Rh5, as listed in the Alexandria database.

Calculated values
energy relative to the elements	-0.120	eV/atom
ΔE to the lowest computed polymorph	8.0	kJ/mol of atoms
Fermi-level density of states	1.262	states/eV/atom
energy	-83.081	eV for the cell shown
SG	No. 12

a = 7.2404 Å, b = 7.2404 Å, c = 7.2467 Å
α = 96.28°, β = 96.28°, γ = 140.59°
Last column: nearest neighbours and their distance in Å.
Fractional positions:
Zn 0.1716 0.3292 0.5004  10 Rh 2.54-2.84
Zn 0.2484 0.2524 0.0004  2 Zn 2.44, 8 Rh 2.61-2.65
Zn 0.2913 0.7913 0.1573  8 Rh 2.54-2.75
Zn 0.7095 0.2095 0.8435  8 Rh 2.54-2.75
Zn 0.7524 0.7484 0.0004  2 Zn 2.44, 8 Rh 2.61-2.65
Zn 0.8292 0.6716 0.5004  10 Rh 2.54-2.84
Rh 0.0886 0.7874 0.8463  5 Zn 2.54-2.70, 3 Rh 2.71-2.79
Rh 0.2235 0.0661 0.3033  6 Zn 2.54-2.84, 2 Rh 2.70-2.78
Rh 0.2657 0.7657 0.5307  2 Rh 2.47-2.48, 4 Zn 2.58-2.75
Rh 0.2874 0.5886 0.8463  5 Zn 2.54-2.70, 3 Rh 2.71-2.79
Rh 0.4347 0.2774 0.6975  6 Zn 2.54-2.84, 2 Rh 2.70-2.78
Rh 0.5661 0.7235 0.3033  6 Zn 2.54-2.84, 2 Rh 2.70-2.78
Rh 0.7134 0.4122 0.1545  5 Zn 2.54-2.70, 3 Rh 2.71-2.79
Rh 0.7351 0.2351 0.4701  2 Rh 2.47-2.48, 4 Zn 2.58-2.75
Rh 0.7774 0.9347 0.6975  6 Zn 2.54-2.84, 2 Rh 2.70-2.78
Rh 0.9122 0.2134 0.1545  5 Zn 2.54-2.70, 3 Rh 2.71-2.79


[6]
First-principles (PBE) data for a relaxed structure of BaLaGaAu, as listed in the Alexandria database.

Calculated values
energy relative to the elements	-0.495	eV/atom
Fermi-level density of states	0.783	states/eV/atom
energy	-15.134	eV for the cell shown
SG	No. 216

a = 5.5401 Å, b = 5.5401 Å, c = 5.5401 Å
α = 60.00°, β = 60.00°, γ = 60.00°
Last column: nearest neighbours and their distance in Å.
Fractional positions:
Au 0.2500 0.2500 0.2500  4 Ba 3.39, 4 La 3.39
Ba 0.5000 0.5000 0.5000  4 Au 3.39, 4 Ga 3.39
Ga 0.7500 0.7500 0.7500  4 Ba 3.39, 4 La 3.39
La 0.0000 0.0000 0.0000  4 Ga 3.39, 4 Au 3.39